This record from Alexandria via LeMat-Bulk describes a relaxed ZrMn2Fe2 crystal. The functional is GGA-PBE.

a b c (Å): 3.784 3.784 9.340
angles (deg): 90.00 90.00 90.00
Element x y z (fractional)
Zr  0.000  0.000  0.000
Zr  0.500  0.500  0.500
Mn  0.000  0.000  0.387
Mn  0.000  0.000  0.613
Mn  0.500  0.500  0.113
Mn  0.500  0.500  0.887
Fe  0.000  0.500  0.250
Fe  0.000  0.500  0.750
Fe  0.500  0.000  0.250
Fe  0.500  0.000  0.750

Results
The calculation puts the relative energy among the computed polymorphs at 0.001 eV per atom.

This record from Alexandria via LeMat-Bulk describes a relaxed Ho6TmSc12 crystal. The functional is GGA-PBE.

a b c (Å): 8.047 8.047 8.047
angles (deg): 84.76 84.76 84.76
Element x y z (fractional)
Ho  0.272  0.272  0.702
Ho  0.272  0.702  0.272
Ho  0.298  0.728  0.728
Ho  0.702  0.272  0.272
Ho  0.728  0.298  0.728
Ho  0.728  0.728  0.298
Tm  0.500  0.500  0.500
Sc  0.006  0.006  0.698
Sc  0.006  0.698  0.006
Sc  0.058  0.369  0.369
Sc  0.302  0.994  0.994
Sc  0.369  0.058  0.369
Sc  0.369  0.369  0.058
Sc  0.631  0.631  0.942
Sc  0.631  0.942  0.631
Sc  0.698  0.006  0.006
Sc  0.942  0.631  0.631
Sc  0.994  0.302  0.994
Sc  0.994  0.994  0.302

Results
The total DFT energy (no corrections) comes out at -5.511 eV/atom.

This record from Alexandria via LeMat-Bulk describes a relaxed LaGeOs crystal. The functional is GGA-PBE.

a b c (Å): 4.393 4.308 7.336
angles (deg): 90.00 90.52 90.00
Element x y z (fractional)
La  0.000  0.000  0.000
La  0.000  0.500  0.500
Ge  0.493  0.000  0.676
Ge  0.507  0.000  0.324
Os  0.473  0.500  0.161
Os  0.527  0.500  0.839

Results
The total DFT energy (no corrections) comes out at -7.309 eV/atom.

This record from Alexandria via LeMat-Bulk describes a relaxed Pm2NdAu crystal. The functional is GGA-PBE.

a b c (Å): 3.833 12.525 10.042
angles (deg): 90.00 90.00 90.00
Element x y z (fractional)
Pm  0.000  0.135  0.050
Pm  0.000  0.135  0.450
Pm  0.000  0.865  0.550
Pm  0.000  0.865  0.950
Pm  0.500  0.365  0.550
Pm  0.500  0.365  0.950
Pm  0.500  0.635  0.050
Pm  0.500  0.635  0.450
Nd  0.000  0.438  0.250
Nd  0.000  0.562  0.750
Nd  0.500  0.062  0.750
Nd  0.500  0.938  0.250
Au  0.000  0.263  0.750
Au  0.000  0.737  0.250
Au  0.500  0.237  0.250
Au  0.500  0.763  0.750

Results
The calculation puts the relative energy among the computed polymorphs at 0.000 eV per atom.